Compound: GdThNi
Source: Alexandria
Functional: GGA-PBE
Structure: optimized geometry

Values from the calculation:
Its space-group type is F-43m, No. 216. For the excess energy over the best structure of this formula in the dataset, the calculation gives 0.146 eV/atom. The energy relative to the elements is -0.0318 eV per atom.

Unit cell a=4.8208 b=4.8208 c=4.8208 alpha=60.00 beta=60.00 gamma=60.00
With the nearest neighbours (Å) after each atom.
Fractional coordinates of all 3 atoms:
Th  0.5000  0.5000  0.5000  4 Ni 2.95
Gd  0.0000  0.0000  0.0000  4 Ni 2.95
Ni  0.2500  0.2500  0.2500  4 Gd 2.95, 4 Th 2.95



Compound: Dy8Tl3Te4
Source: Alexandria
Functional: GGA-PBE
Structure: optimized geometry

Values from the calculation:
Its space-group type is C2/m, No. 12. The calculation puts the formation energy without anion corrections at -0.749 eV/atom.

Unit cell a=8.5894 b=8.6696 c=8.6696 alpha=90.07 beta=119.59 gamma=119.59
With the nearest neighbours (Å) after each atom.
Fractional coordinates of all 15 atoms:
Dy  0.5154  0.2577  0.2577  3 Tl 3.06-3.07, 2 Te 3.07-3.17
Te  0.5000  0.0000  0.0000  6 Dy 3.06-3.13
Tl  0.5000  0.0000  0.5000  6 Dy 3.06-3.07
Te  0.0000  0.5000  0.0000  6 Dy 3.06-3.07
Te  0.0000  0.0000  0.5000  6 Dy 3.06-3.07
Dy  0.9906  0.7403  0.7403  1 Tl 3.01, 4 Te 3.07-3.13
Tl  0.5000  0.5000  0.5000  6 Dy 3.01-3.07
Dy  0.0094  0.2597  0.2597  1 Tl 3.01, 4 Te 3.07-3.13
Dy  0.0000  0.2555  0.7445  3 Te 3.06-3.13, 2 Tl 3.07
Dy  0.5000  0.2496  0.7504  3 Te 3.06-3.07, 3 Tl 3.06-3.07
Dy  0.5000  0.7504  0.2496  3 Te 3.06-3.07, 3 Tl 3.06-3.07
Dy  0.4846  0.7423  0.7423  3 Tl 3.06-3.07, 2 Te 3.07-3.17
Te  0.0000  0.0000  0.0000  6 Dy 3.13-3.17
Tl  0.5000  0.5000  0.0000  6 Dy 3.06-3.07
Dy  0.0000  0.7445  0.2555  3 Te 3.06-3.13, 2 Tl 3.07



Compound: Y2ErSn
Source: Alexandria
Functional: GGA-PBE
Structure: optimized geometry

Values from the calculation:
Its space-group type is R3m, No. 160. For the excess energy over the best structure of this formula in the dataset, the calculation gives 0.298 eV/atom. The energy relative to the elements is -0.1111 eV per atom.

Unit cell a=5.1126 b=5.1126 c=6.4955 alpha=66.82 beta=66.82 gamma=60.00
With the nearest neighbours (Å) after each atom.
Fractional coordinates of all 4 atoms:
Y  0.2738  0.2738  0.1787  3 Sn 3.21, 3 Y 3.56, 3 Er 3.58
Y  0.0554  0.0554  0.8339  3 Sn 3.04
Er  0.4904  0.4904  0.5287  1 Sn 3.30, 6 Y 3.44-3.58
Sn  0.6805  0.6805  0.9586  6 Y 3.04-3.21, 1 Er 3.30



Compound: Hf2MgPd
Source: Alexandria
Functional: GGA-PBE
Structure: optimized geometry

Values from the calculation:
Its space-group type is I-42d, No. 122. The energy relative to the elements is 0.0699 eV per atom.

Unit cell a=7.8327 b=7.8327 c=6.2180 alpha=50.96 beta=50.96 gamma=90.00
With the nearest neighbours (Å) after each atom.
Fractional coordinates of all 8 atoms:
Mg  0.5000  0.5000  0.0000  2 Pd 2.83, 4 Hf 3.13
Pd  0.0000  0.0000  0.0000  4 Hf 2.61, 2 Mg 2.83
Hf  0.0766  0.6250  0.2500  2 Pd 2.61, 2 Hf 2.93
Pd  0.7500  0.2500  0.5000  4 Hf 2.61, 2 Mg 2.83
Hf  0.3750  0.3266  0.7500  2 Pd 2.61, 2 Hf 2.93
Hf  0.8750  0.9234  0.7500  2 Pd 2.61, 2 Hf 2.93
Mg  0.2500  0.7500  0.5000  2 Pd 2.83, 4 Hf 3.13
Hf  0.6734  0.1250  0.2500  2 Pd 2.61, 2 Hf 2.93



Compound: Nd6HgTe3Pb2
Source: Alexandria
Functional: GGA-PBE
Structure: optimized geometry

Values from the calculation:
Its space-group type is C2/m, No. 12. The calculation puts the formation energy without anion corrections at -0.983 eV/atom.

Unit cell a=4.5112 b=9.1194 c=10.2618 alpha=106.74 beta=102.70 gamma=90.00
With the nearest neighbours (Å) after each atom.
Fractional coordinates of all 12 atoms:
Nd  0.3337  0.9204  0.6675  3 Te 3.16-3.22, 2 Pb 3.18, 1 Hg 3.19
Nd  0.6684  0.5758  0.3368  3 Pb 3.20-3.23, 3 Te 3.23-3.24
Nd  0.6663  0.0796  0.3325  3 Te 3.16-3.22, 2 Pb 3.18, 1 Hg 3.19
Nd  0.9972  0.2514  0.9945  3 Te 3.18-3.19, 1 Pb 3.18, 2 Hg 3.23
Nd  0.0028  0.7486  0.0055  3 Te 3.18-3.19, 1 Pb 3.18, 2 Hg 3.23
Te  0.1687  0.8294  0.3374  6 Nd 3.16-3.23
Nd  0.3316  0.4242  0.6632  3 Pb 3.20-3.23, 3 Te 3.23-3.24
Pb  0.1629  0.3238  0.3257  6 Nd 3.18-3.23
Hg  0.5000  0.0000  0.0000  6 Nd 3.19-3.23
Te  0.5000  0.5000  0.0000  6 Nd 3.19-3.24
Pb  0.8371  0.6762  0.6743  6 Nd 3.18-3.23
Te  0.8313  0.1706  0.6626  6 Nd 3.16-3.23



Compound: Tl2HgSbH
Source: Alexandria
Functional: GGA-PBE
Structure: optimized geometry

Values from the calculation:
Its space-group type is P4/mmm, No. 123. The value obtained for the total energy is -2.3369 eV per atom.

Unit cell a=5.4946 b=5.4946 c=4.1786 alpha=90.00 beta=90.00 gamma=90.00
With the nearest neighbours (Å) after each atom.
Fractional coordinates of all 5 atoms:
Sb  0.0000  0.0000  0.5000  2 H 2.09
H  0.0000  0.0000  0.0000  2 Sb 2.09
Tl  0.5000  0.0000  0.0000  2 H 2.75
Tl  0.0000  0.5000  0.0000  2 H 2.75
Hg  0.5000  0.5000  0.5000  8 Tl 3.45



Compound: NaMn2CrS
Source: Alexandria
Functional: GGA-PBE
Structure: optimized geometry

Values from the calculation:
Its space-group type is P4/mmm, No. 123. The calculation puts the formation energy without anion corrections at 0.319 eV/atom.

Unit cell a=4.4415 b=4.5276 c=4.4415 alpha=90.00 beta=90.00 gamma=90.00
With the nearest neighbours (Å) after each atom.
Fractional coordinates of all 5 atoms:
Na  0.5000  0.5000  0.5000  4 Cr 3.14, 8 Mn 3.17
Cr  0.0000  0.5000  0.0000  2 S 2.26
Mn  0.0000  0.0000  0.5000  2 S 2.22
S  0.0000  0.0000  0.0000  4 Mn 2.22, 2 Cr 2.26
Mn  0.5000  0.0000  0.0000  2 S 2.22